Record 1
Material: Tm2Sc3Ge4
Method: DFT, PBE-GGA
State: relaxed

```
data_Tm2Sc3Ge4
_space_group_name_H-M_alt 'P 1 21/c 1'
_space_group_IT_number 14
_cell_length_a 7.5009
_cell_length_b 7.4337
_cell_length_c 7.2104
_cell_angle_alpha 90.00
_cell_angle_beta 110.66
_cell_angle_gamma 90.00
loop_
_space_group_symop_operation_xyz
'x,y,z'
'-x,-y,-z'
'-x,y+1/2,-z+1/2'
'x,-y+1/2,z+1/2'
loop_
_atom_site_label
_atom_site_fract_x
_atom_site_fract_y
_atom_site_fract_z
Tm1 0.1929 0.1788 0.0623
Sc1 0.2463 0.6674 0.2393
Sc2 0.5000 0.0000 0.5000
Ge1 0.0841 0.5402 0.8387
Ge2 0.4909 0.1328 0.8649
```

Output
Formation energy from the elements ... -8.06 eV per formula unit
Final energy ... -6.05 eV per atom


Record 2
Material: Mg3Cd2Ir
Method: DFT, PBE-GGA
State: relaxed

```
data_Mg3Cd2Ir
_space_group_name_H-M_alt 'P 1 2/m 1'
_space_group_IT_number 10
_cell_length_a 4.6657
_cell_length_b 6.9082
_cell_length_c 7.3183
_cell_angle_alpha 90.00
_cell_angle_beta 105.50
_cell_angle_gamma 90.00
loop_
_space_group_symop_operation_xyz
'x,y,z'
'-x,-y,-z'
'-x,y,-z'
'x,-y,z'
loop_
_atom_site_label
_atom_site_fract_x
_atom_site_fract_y
_atom_site_fract_z
Mg1 0.0000 0.2291 0.0000
Mg2 0.3135 0.2128 0.6444
Cd1 0.1746 0.5000 0.3281
Cd2 0.5000 0.0000 0.0000
Cd3 0.5000 0.5000 0.0000
Ir1 0.1692 0.0000 0.3167
```

Output
Formation energy from the elements ... -1.23 eV per formula unit
Final energy ... -2.78 eV per atom


Record 3
Material: K2ScCd
Method: DFT, PBE-GGA
State: relaxed

```
data_K2ScCd
_space_group_name_H-M_alt 'R -3 m'
_space_group_IT_number 166
_space_group_name_Hall '-R 3 2"'
_cell_length_a 3.6164
_cell_length_b 3.6164
_cell_length_c 39.3515
_cell_angle_alpha 90.00
_cell_angle_beta 90.00
_cell_angle_gamma 120.00
loop_
_atom_site_label
_atom_site_fract_x
_atom_site_fract_y
_atom_site_fract_z
K1 0.0000 0.0000 0.2470
Sc1 0.0000 0.0000 0.0000
Cd1 0.0000 0.0000 0.5000
```

Output
Formation energy from the elements ... 1.61 eV per formula unit
Final energy ... -1.96 eV per atom


Record 4
Material: Fe2NiRh
Method: DFT, PBE-GGA
State: relaxed

```
data_Fe2NiRh
_space_group_name_H-M_alt 'R 3 m'
_space_group_IT_number 160
_space_group_name_Hall 'R 3 -2"'
_cell_length_a 2.6491
_cell_length_b 2.6491
_cell_length_c 24.8590
_cell_angle_alpha 90.00
_cell_angle_beta 90.00
_cell_angle_gamma 120.00
loop_
_atom_site_label
_atom_site_fract_x
_atom_site_fract_y
_atom_site_fract_z
Fe1 0.0000 0.0000 0.0000
Fe2 0.0000 0.0000 0.2506
Ni1 0.0000 0.0000 0.7445
Rh1 0.0000 0.0000 0.4995
```

Output
Formation energy from the elements ... 0.25 eV per formula unit
Final energy ... -7.45 eV per atom


Record 5
Material: ScCu2Tc2
Method: DFT, PBE-GGA
State: relaxed

```
data_ScCu2Tc2
_space_group_name_H-M_alt 'P 4/m b m'
_space_group_IT_number 127
_space_group_name_Hall '-P 4 2ab'
_cell_length_a 6.6283
_cell_length_b 6.6283
_cell_length_c 3.3992
_cell_angle_alpha 90.00
_cell_angle_beta 90.00
_cell_angle_gamma 90.00
loop_
_atom_site_label
_atom_site_fract_x
_atom_site_fract_y
_atom_site_fract_z
Sc1 0.0000 0.0000 0.0000
Cu1 0.1317 0.3683 0.0000
Tc1 0.1601 0.6601 0.5000
```

Output
Formation energy from the elements ... 1.35 eV per formula unit
Final energy ... -6.78 eV per atom


Record 6
Material: K4NdDy3Se8
Method: DFT, PBE-GGA
State: relaxed

```
data_K4NdDy3Se8
_space_group_name_H-M_alt 'R -3 m'
_space_group_IT_number 166
_space_group_name_Hall '-R 3 2"'
_cell_length_a 8.4953
_cell_length_b 8.4953
_cell_length_c 23.0770
_cell_angle_alpha 90.00
_cell_angle_beta 90.00
_cell_angle_gamma 120.00
loop_
_atom_site_label
_atom_site_fract_x
_atom_site_fract_y
_atom_site_fract_z
K1 0.0000 0.0000 0.0000
K2 0.0000 0.5000 0.0000
Nd1 0.0000 0.0000 0.5000
Dy1 0.0000 0.5000 0.5000
Se1 0.0000 0.0000 0.2347
Se2 0.0072 0.5036 0.7642
```

Output
Formation energy (no corrections) ... -2716 kJ/mol of formula units
Final energy ... -4.94 eV per atom


Record 7
Material: HoBiTe
Method: DFT, PBE-GGA
State: relaxed

```
data_HoBiTe
_space_group_name_H-M_alt 'I 4/m m m'
_space_group_IT_number 139
_space_group_name_Hall '-I 4 2'
_cell_length_a 4.3834
_cell_length_b 4.3834
_cell_length_c 18.7444
_cell_angle_alpha 90.00
_cell_angle_beta 90.00
_cell_angle_gamma 90.00
loop_
_atom_site_label
_atom_site_fract_x
_atom_site_fract_y
_atom_site_fract_z
Ho1 0.0000 0.0000 0.1439
Bi1 0.0000 0.5000 0.0000
Te1 0.0000 0.0000 0.3118
```

Output
Formation energy (no corrections) ... -273 kJ/mol of formula units
Final energy ... -4.81 eV per atom


Record 8
Material: Nd3Ni
Method: DFT, PBE-GGA
State: relaxed

```
data_Nd3Ni
_space_group_name_H-M_alt 'P 1'
_space_group_IT_number 1
_cell_length_a 6.3340
_cell_length_b 8.8455
_cell_length_c 8.9244
_cell_angle_alpha 83.87
_cell_angle_beta 69.64
_cell_angle_gamma 73.60
loop_
_space_group_symop_operation_xyz
'x,y,z'
loop_
_atom_site_label
_atom_site_fract_x
_atom_site_fract_y
_atom_site_fract_z
Nd1 0.0000 0.0000 0.0000
Nd2 0.0015 0.1494 0.3630
Nd3 0.0885 0.3737 0.9640
Nd4 0.1238 0.7447 0.3560
Nd5 0.2485 0.7275 0.7174
Nd6 0.2583 0.3496 0.5619
Nd7 0.4726 0.3427 0.1570
Nd8 0.5523 0.9534 0.3640
Nd9 0.6161 0.7232 0.0034
Nd10 0.6290 0.0096 0.7296
Nd11 0.6874 0.3890 0.7541
Nd12 0.7514 0.5321 0.3583
Ni1 0.1194 0.6564 0.0604
Ni2 0.1366 0.0605 0.6577
Ni3 0.4247 0.0547 0.0717
Ni4 0.8117 0.6692 0.6567
```

Output
Formation energy from the elements ... -0.30 eV per formula unit
Final energy ... -5.10 eV per atom